(1)
Entry from Alexandria: crystalline Np3Co2Ge4 at its relaxed geometry (PBE-GGA).

## Properties
space-group type: C2/m (12)

Unit cell a=4.1619 b=5.5545 c=7.6967 alpha=94.32 beta=90.00 gamma=112.00
Fractional positions:
Np  0.6049  0.2098  0.7133
Np  0.0000  0.0000  0.0000
Np  0.3951  0.7902  0.2867
Co  0.7063  0.4126  0.4098
Co  0.2937  0.5874  0.5902
Ge  0.7097  0.4194  0.0958
Ge  0.2903  0.5806  0.9042
Ge  0.9041  0.8083  0.6073
Ge  0.0959  0.1917  0.3927

***

(2)
Entry from Alexandria: crystalline NpCo4Ge4 at its relaxed geometry (PBE-GGA).

## Properties
space-group type: P4_2/nmc (137)

Unit cell a=5.7613 b=5.7613 c=8.0103 alpha=90.00 beta=90.00 gamma=90.00
Fractional positions:
Np  0.0000  0.0000  0.0000
Np  0.5000  0.5000  0.5000
Co  0.2218  0.5000  0.8908
Co  0.7782  0.5000  0.8908
Co  0.5000  0.7782  0.1092
Co  0.5000  0.2218  0.1092
Co  0.0000  0.7218  0.3908
Co  0.0000  0.2782  0.3908
Co  0.2782  0.0000  0.6092
Co  0.7218  0.0000  0.6092
Ge  0.5000  0.7830  0.8167
Ge  0.5000  0.2170  0.8167
Ge  0.7830  0.5000  0.1833
Ge  0.2170  0.5000  0.1833
Ge  0.2830  0.0000  0.3167
Ge  0.7170  0.0000  0.3167
Ge  0.0000  0.2830  0.6833
Ge  0.0000  0.7170  0.6833

***

| no. | formation energy (meV/atom) | mass density (g cm⁻³) | calculated volume (A^3/atom) |
| --- | --- | --- | --- |
| 1 | -216 | 11.3 | 18.269 |
| 2 | -123 | 9.5 | 14.771 |